Bi3WS | GGA-PBE | relaxed

Cell lengths 5.330, 5.330, 5.330 Å; angles 90.00, 90.00, 90.00 degrees
Atoms (fractional coordinates):
S  0.500  0.500  0.500
Bi  0.000  0.500  0.000
Bi  0.000  0.000  0.500
Bi  0.500  0.000  0.000
W  0.000  0.000  0.000

Computed properties:
E_form (uncorrected) = 351 kJ/mol of formula units
ΔE to the lowest computed polymorph = 0.0000 eV/atom
Volume = 151.4 Å³/f.u.
Magnetization = 0.00 μB per atom